The following is a GGA-PBE calculation of an optimized crystal structure of PmNdInAu, from the Alexandria database.

Summary:
The total magnetization comes out at 0.00 μB per formula unit. Its excess energy over the best structure of this formula in the dataset is 0.0000 eV per atom.

CIF file:
```
data_PmNdInAu
_chemical_formula_sum 'Pm1 Nd1 In1 Au1'
_symmetry_space_group_name_H-M 'P 4 m m'
_symmetry_Int_Tables_number 99
_cell_length_a 3.704
_cell_length_b 3.704
_cell_length_c 7.937
_cell_angle_alpha 90.00
_cell_angle_beta 90.00
_cell_angle_gamma 90.00
loop_
_symmetry_equiv_pos_as_xyz
'x,y,z'
'-y,x,z'
'-x,-y,z'
'y,-x,z'
'-x,y,z'
'y,x,z'
'x,-y,z'
'-y,-x,z'
loop_
_atom_site_label
_atom_site_fract_x
_atom_site_fract_y
_atom_site_fract_z
Pm1 0.000 0.000 0.000
Nd1 0.000 0.000 0.536
In1 0.500 0.500 0.267
Au1 0.500 0.500 0.775
```

---

The following is a GGA-PBE calculation of an optimized crystal structure of PrNdInAu, from the Alexandria database.

Summary:
The total magnetization comes out at 0.00 μB per formula unit. Its excess energy over the best structure of this formula in the dataset is 0.0000 eV per atom.

CIF file:
```
data_PrNdInAu
_chemical_formula_sum 'Pr1 Nd1 In1 Au1'
_symmetry_space_group_name_H-M 'P 4 m m'
_symmetry_Int_Tables_number 99
_cell_length_a 3.729
_cell_length_b 3.729
_cell_length_c 7.994
_cell_angle_alpha 90.00
_cell_angle_beta 90.00
_cell_angle_gamma 90.00
loop_
_symmetry_equiv_pos_as_xyz
'x,y,z'
'-y,x,z'
'-x,-y,z'
'y,-x,z'
'-x,y,z'
'y,x,z'
'x,-y,z'
'-y,-x,z'
loop_
_atom_site_label
_atom_site_fract_x
_atom_site_fract_y
_atom_site_fract_z
Pr1 0.000 0.000 0.000
Nd1 0.000 0.000 0.464
In1 0.500 0.500 0.730
Au1 0.500 0.500 0.240
```

---

The following is a GGA-PBE calculation of an optimized crystal structure of PrNdInAu, from the Alexandria database.

Summary:
The total magnetization comes out at 0.55 μB per formula unit. Its excess energy over the best structure of this formula in the dataset is 0.0605 eV per atom.

CIF file:
```
data_PrNdInAu
_chemical_formula_sum 'Pr4 Nd4 In4 Au4'
_symmetry_space_group_name_H-M 'F -4 3 m'
_symmetry_Int_Tables_number 216
_symmetry_space_group_name_Hall 'F -4 2 3'
_cell_length_a 7.654
_cell_length_b 7.654
_cell_length_c 7.654
_cell_angle_alpha 90.00
_cell_angle_beta 90.00
_cell_angle_gamma 90.00
loop_
_atom_site_label
_atom_site_fract_x
_atom_site_fract_y
_atom_site_fract_z
Pr1 0.000 0.000 0.000
Nd1 0.000 0.000 0.500
In1 0.250 0.250 0.250
Au1 0.250 0.250 0.750
```

---

no.,energy of formation (meV/atom)
1,-628
2,-616
3,-555